Entry from the Alexandria database: a relaxed MgFeCl2 crystal (GGA-PBE).

## Properties
Its space group is C2/m. For the energy above the most stable polymorph in this dataset, the calculation gives 0.308 eV per atom. For the uncorrected formation energy, the calculation gives -4.89 kcal/mol of atoms. The raw total energy is -3.650 eV per atom. The calculation puts the theoretical density at 3.2 Mg/m³.

The structure in CIF format:
```
data_MgFeCl2
_chemical_formula_sum 'Mg1 Fe1 Cl2'
_symmetry_space_group_name_H-M 'P 1'
_symmetry_Int_Tables_number 1
_cell_length_a 5.1942
_cell_length_b 5.1942
_cell_length_c 3.6300
_cell_angle_alpha 67.63
_cell_angle_beta 67.63
_cell_angle_gamma 99.69
loop_
_symmetry_equiv_pos_as_xyz
'x,y,z'
loop_
_atom_site_label
_atom_site_type_symbol
_atom_site_fract_x
_atom_site_fract_y
_atom_site_fract_z
Cl1 Cl 0.0000 0.0000 0.0000
Cl2 Cl 0.5000 0.5000 0.0000
Fe1 Fe 0.5000 0.0000 0.5000
Mg1 Mg 0.0000 0.5000 0.5000
```